Below is a relaxed RbNb3B crystal, with properties calculated at the PBE level.

Summary:
Formation enthalpy at 0 K (meV per atom): 3505
Space group: No. 221
E above lowest polymorph (eV per atom): 2.3501

```
RbNb3B
1.0
-0.455 -0.982 4.605
4.546 -1.296 0.173
1.226 4.443 1.068
Nb B Rb
3 1 1
direct
0.000 0.500 0.000 Nb
0.000 0.000 0.500 Nb
0.500 0.000 0.000 Nb
0.500 0.500 0.500 B
0.000 0.000 0.000 Rb
```

Below is a relaxed LaPm6Sm6 crystal, with properties calculated at the PBE level.

Summary:
Formation enthalpy at 0 K (meV per atom): 247
Space group: No. 191

```
LaPm6Sm6
1.0
-1.438 -1.772 6.360
3.000 -4.416 -4.141
10.439 3.868 3.437
La Pm Sm
1 6 6
direct
0.000 0.000 0.000 La
0.000 0.000 0.645 Pm
0.000 0.000 0.355 Pm
0.333 0.667 0.000 Pm
0.667 0.333 0.000 Pm
0.333 0.667 0.500 Pm
0.667 0.333 0.500 Pm
0.000 0.500 0.750 Sm
0.500 0.000 0.750 Sm
0.500 0.500 0.750 Sm
0.500 0.000 0.250 Sm
0.000 0.500 0.250 Sm
0.500 0.500 0.250 Sm
```

Below is a relaxed PuGeTe4 crystal, with properties calculated at the PBE level.

Summary:
Space group: No. 12
Raw formation energy (eV per atom): -0.2971

```
PuGeTe4
1.0
-0.897 -4.245 0.203
6.025 0.956 0.152
-3.275 1.054 7.563
Pu Ge Te
1 1 4
direct
0.500 0.000 0.500 Pu
0.000 0.000 0.000 Ge
0.363 0.725 0.086 Te
0.138 0.276 0.365 Te
0.637 0.275 0.914 Te
0.862 0.724 0.635 Te
```